[1]
The following is a DFT calculation (PBE) of a relaxed structure of GeIrW2.

Summary:
Total magnetization: 0.00 μB per atom

Structure (extended XYZ):
```
4
Lattice="0.0000 3.1418 3.1418 3.1418 0.0000 3.1418 3.1418 3.1418 0.0000" Properties=species:S:1:pos:R:3 pbc="T T T"
Ge 0.0000 0.0000 0.0000
Ir 1.5709 1.5709 1.5709
W 3.1418 3.1418 3.1418
W 4.7127 4.7127 4.7127
```

[2]
The following is a DFT calculation (PBE) of a relaxed structure of KReNO.

Summary:
Total magnetization: 0.00 μB per atom

Structure (extended XYZ):
```
8
Lattice="3.3444 0.0000 0.0000 0.0000 6.5084 0.0000 0.0000 0.0000 6.4788" Properties=species:S:1:pos:R:3 pbc="T T T"
K 0.0000 1.0524 0.0000
K 0.0000 5.4559 3.2394
Re 1.6722 2.4014 3.2633
Re 1.6722 4.1070 0.0239
N 0.0000 1.6298 2.7717
N 0.0000 4.8786 6.0111
O 1.6722 2.6800 5.1378
O 1.6722 3.8284 1.8984
```

[3]
The following is a DFT calculation (PBE) of a relaxed structure of ScPa2P2.

Summary:
Total magnetization: 0.02 μB per atom

Structure (extended XYZ):
```
10
Lattice="3.5508 0.0000 0.0000 -1.7754 3.0751 0.0000 0.0000 0.0000 22.1087" Properties=species:S:1:pos:R:3 pbc="T T T"
Sc 0.0000 0.0000 0.0000
Sc 0.0000 0.0000 11.0543
Pa 0.0000 2.0501 2.6468
Pa 0.0000 2.0501 8.4076
Pa 1.7754 1.0250 13.7011
Pa 1.7754 1.0250 19.4619
P 0.0000 2.0501 15.4886
P 0.0000 2.0501 17.6744
P 1.7754 1.0250 4.4342
P 1.7754 1.0250 6.6201
```

[4]
The following is a DFT calculation (PBE) of a relaxed structure of HfPdPb.

Summary:
Total magnetization: 0.00 μB per atom

Structure (extended XYZ):
```
6
Lattice="4.7754 0.0000 0.0000 -2.3877 4.1356 0.0000 0.0000 0.0000 6.1082" Properties=species:S:1:pos:R:3 pbc="T T T"
Hf 0.0000 0.0000 0.0000
Hf 0.0000 0.0000 3.0541
Pd 0.0000 2.7571 1.5271
Pd 2.3877 1.3785 4.5812
Pb 0.0000 2.7571 4.5812
Pb 2.3877 1.3785 1.5271
```

[5]
The following is a DFT calculation (PBE) of a relaxed structure of SrZnSO.

Structure (extended XYZ):
```
8
Lattice="1.7176 -6.9430 0.0000 1.7176 6.9430 0.0000 0.0000 0.0000 5.8523" Properties=species:S:1:pos:R:3 pbc="T T T"
Sr 1.7176 4.9510 4.3892
Sr 1.7176 -4.9510 1.4631
Zn 1.7176 0.9351 4.3892
Zn 1.7176 -0.9351 1.4631
S 1.7176 4.2952 1.4631
S 1.7176 -4.2952 4.3892
O 0.0000 0.0000 0.0000
O 0.0000 0.0000 2.9261
```

[6]
The following is a DFT calculation (PBE) of a relaxed structure of BeInTcTe.

Summary:
Total magnetization: 0.00 μB per atom

Structure (extended XYZ):
```
4
Lattice="0.0000 3.2921 3.2921 3.2921 0.0000 3.2921 3.2921 3.2921 0.0000" Properties=species:S:1:pos:R:3 pbc="T T T"
Be 0.0000 0.0000 0.0000
In 4.9382 4.9382 4.9382
Tc 3.2921 3.2921 3.2921
Te 1.6461 1.6461 1.6461
```

[7]
The following is a DFT calculation (PBE) of a relaxed structure of BaPrPd2.

Summary:
Total magnetization: 0.00 μB per atom

Structure (extended XYZ):
```
4
Lattice="4.6991 0.0000 0.0000 0.0000 2.0280 5.7935 0.0000 -2.0280 5.7935" Properties=species:S:1:pos:R:3 pbc="T T T"
Ba 0.0000 0.0000 0.0000
Pr 2.3495 0.0000 8.4543
Pd 0.0000 0.0000 3.1480
Pd 2.3495 0.0000 4.9491
```

[8]
The following is a DFT calculation (PBE) of a relaxed structure of RbBaHo.

Summary:
Total magnetization: 0.47 μB per atom

Structure (extended XYZ):
```
3
Lattice="0.0000 4.6619 4.6619 4.6619 0.0000 4.6619 4.6619 4.6619 0.0000" Properties=species:S:1:pos:R:3 pbc="T T T"
Rb 0.0000 0.0000 0.0000
Ba 4.6619 4.6619 4.6619
Ho 6.9928 6.9928 6.9928
```

[9]
The following is a DFT calculation (PBE) of a relaxed structure of TbHoTlTe3.

Summary:
Total magnetization: 0.04 μB per atom

Structure (extended XYZ):
```
12
Lattice="2.2124 -7.6720 0.0000 2.2124 7.6720 0.0000 0.0000 0.0000 12.0160" Properties=species:S:1:pos:R:3 pbc="T T T"
Tb 0.0000 0.0000 0.0000
Tb 0.0000 0.0000 6.0080
Ho 2.2124 1.0133 9.0120
Ho 2.2124 -1.0133 3.0040
Tl 2.2124 3.7821 3.0040
Tl 2.2124 -3.7821 9.0120
Te 2.2124 6.7018 9.0120
Te 2.2124 2.1964 6.3459
Te 2.2124 2.1964 11.6780
Te 2.2124 -2.1964 0.3379
Te 2.2124 -2.1964 5.6700
Te 2.2124 -6.7018 3.0040
```

[10]
The following is a DFT calculation (PBE) of a relaxed structure of BaTbAsO.

Summary:
Total magnetization: 0.00 μB per atom

Structure (extended XYZ):
```
8
Lattice="4.7546 0.0000 0.0000 0.0000 7.6121 0.0000 0.0000 0.0000 6.7082" Properties=species:S:1:pos:R:3 pbc="T T T"
Ba 0.0000 1.5289 0.0000
Ba 0.0000 6.0832 3.3541
Tb 2.3773 2.9873 4.0132
Tb 2.3773 4.6248 0.6591
As 0.0000 1.7489 3.2488
As 0.0000 5.8632 6.6029
O 2.3773 2.7875 6.2039
O 2.3773 4.8245 2.8497
```

[11]
The following is a DFT calculation (PBE) of a relaxed structure of Hf4AlC2O.

Summary:
Total magnetization: 0.00 μB per atom

Structure (extended XYZ):
```
8
Lattice="3.2355 0.0000 0.0000 -1.6177 2.8020 0.0000 0.0000 0.0000 12.7199" Properties=species:S:1:pos:R:3 pbc="T T T"
Hf 0.0000 0.0000 1.5367
Hf 0.0000 0.0000 11.1832
Hf 0.0000 1.8680 4.0327
Hf 0.0000 1.8680 8.6871
Al 0.0000 0.0000 6.3599
C 1.6177 0.9340 2.7419
C 1.6177 0.9340 9.9779
O 0.0000 1.8680 0.0000
```

[12]
The following is a DFT calculation (PBE) of a relaxed structure of YMgTcW.

Summary:
Total magnetization: 0.00 μB per atom

Structure (extended XYZ):
```
4
Lattice="0.0000 3.3339 3.3339 3.3339 0.0000 3.3339 3.3339 3.3339 0.0000" Properties=species:S:1:pos:R:3 pbc="T T T"
Y 0.0000 0.0000 0.0000
Mg 1.6669 1.6669 1.6669
Tc 5.0008 5.0008 5.0008
W 3.3339 3.3339 3.3339
```

[13]
The following is a DFT calculation (PBE) of a relaxed structure of NbTlCoRe.

Summary:
Total magnetization: 0.03 μB per atom

Structure (extended XYZ):
```
4
Lattice="0.0000 3.1997 3.1997 3.1997 0.0000 3.1997 3.1997 3.1997 0.0000" Properties=species:S:1:pos:R:3 pbc="T T T"
Nb 0.0000 0.0000 0.0000
Tl 3.1997 3.1997 3.1997
Co 4.7996 4.7996 4.7996
Re 1.5999 1.5999 1.5999
```

[14]
The following is a DFT calculation (PBE) of a relaxed structure of YCuReSn.

Summary:
Total magnetization: 0.00 μB per atom

Structure (extended XYZ):
```
4
Lattice="0.0000 3.3545 3.3545 3.3545 0.0000 3.3545 3.3545 3.3545 0.0000" Properties=species:S:1:pos:R:3 pbc="T T T"
Y 0.0000 0.0000 0.0000
Cu 5.0318 5.0318 5.0318
Re 1.6773 1.6773 1.6773
Sn 3.3545 3.3545 3.3545
```

[15]
The following is a DFT calculation (PBE) of a relaxed structure of Pr.

Summary:
Total magnetization: 0.00 μB per atom

Structure (extended XYZ):
```
2
Lattice="3.2156 -1.8588 0.0000 3.2156 1.8588 0.0000 -2.1423 0.0000 6.0626" Properties=species:S:1:pos:R:3 pbc="T T T"
Pr 1.0278 0.0000 1.5162
Pr 3.2611 0.0000 4.5464
```

[16]
The following is a DFT calculation (PBE) of a relaxed structure of NdYH2I4.

Summary:
Total magnetization: 0.00 μB per atom

Structure (extended XYZ):
```
8
Lattice="4.0676 0.0000 0.0000 -2.0338 3.5227 0.0000 0.0000 0.0000 16.5670" Properties=species:S:1:pos:R:3 pbc="T T T"
Nd 0.0000 0.0000 0.0000
Y 0.0000 0.0000 8.2835
H 0.0000 2.3484 0.0000
H 2.0338 1.1742 8.2835
I 0.0000 2.3484 6.1860
I 0.0000 2.3484 10.3810
I 2.0338 1.1742 2.1881
I 2.0338 1.1742 14.3788
```

[17]
The following is a DFT calculation (PBE) of a relaxed structure of NbReBr6Cl4.

Summary:
Total magnetization: 0.17 μB per atom

Structure (extended XYZ):
```
12
Lattice="6.4723 0.0000 0.0000 -2.8765 6.4021 0.0000 -0.3067 -3.5103 9.0819" Properties=species:S:1:pos:R:3 pbc="T T T"
Nb 0.0000 0.0000 0.0000
Re -0.0305 1.2117 3.9301
Br -1.1359 0.3221 5.8929
Br 0.8453 -2.5175 7.1876
Br 1.0434 1.9666 1.6747
Br 1.0549 3.0634 5.0508
Br 2.1449 1.0003 8.0778
Br 5.3995 -0.6854 2.4748
Cl -1.0429 5.1626 0.7077
Cl 1.7918 -0.1506 4.2036
Cl 4.3317 -2.0755 8.9356
Cl 4.6261 2.4811 3.3684
```

[18]
The following is a DFT calculation (PBE) of a relaxed structure of SrLiCdAu2.

Structure (extended XYZ):
```
5
Lattice="-2.1367 2.1367 6.4740 2.1367 -2.1367 6.4740 2.1367 2.1367 -6.4740" Properties=species:S:1:pos:R:3 pbc="T T T"
Sr 0.0000 0.0000 0.0000
Li 0.0000 2.1367 3.2370
Cd 2.1367 0.0000 3.2370
Au 0.0000 0.0000 5.0805
Au 0.0000 0.0000 7.8675
```

[19]
The following is a DFT calculation (PBE) of a relaxed structure of HfSi2Sb.

Summary:
Total magnetization: 0.00 μB per atom

Structure (extended XYZ):
```
4
Lattice="0.0000 3.4190 3.4190 3.4190 0.0000 3.4190 3.4190 3.4190 0.0000" Properties=species:S:1:pos:R:3 pbc="T T T"
Hf 0.0000 0.0000 0.0000
Si 1.7095 1.7095 1.7095
Si 3.4190 3.4190 3.4190
Sb 5.1285 5.1285 5.1285
```

[20]
The following is a DFT calculation (PBE) of a relaxed structure of ZrTlIr2.

Summary:
Total magnetization: 0.06 μB per atom

Structure (extended XYZ):
```
4
Lattice="0.0000 3.3098 3.3098 3.3098 0.0000 3.3098 3.3098 3.3098 0.0000" Properties=species:S:1:pos:R:3 pbc="T T T"
Zr 0.0000 0.0000 0.0000
Tl 4.9646 4.9646 4.9646
Ir 1.6549 1.6549 1.6549
Ir 3.3098 3.3098 3.3098
```

E in eV per cell, matching the order above: -38.2; -57.1; -72.3; -39.4; -34.0; -17.3; -19.4; -4.7; -53.6; -48.7; -76.8; -30.1; -30.1; -25.8; -9.5; -33.8; -48.0; -14.0; -23.3; -28.1
Calculated volume in Å³/f.u., matching the order above: 62.0; 70.5; 120.7; 60.3; 69.8; 71.4; 110.4; 202.6; 203.9; 121.4; 115.3; 74.1; 65.5; 75.5; 36.2; 237.4; 376.3; 118.2; 79.9; 72.5